Compound: YZn2Co2
Source: Alexandria
Functional: GGA-PBE
Structure: optimized geometry

```
data_YZn2Co2
_chemical_formula_sum 'Y2 Zn4 Co4'
_symmetry_space_group_name_H-M 'P 4/m b m'
_symmetry_Int_Tables_number 127
_symmetry_space_group_name_Hall '-P 4 2ab'
_cell_length_a 7.155
_cell_length_b 7.155
_cell_length_c 2.939
_cell_angle_alpha 90.00
_cell_angle_beta 90.00
_cell_angle_gamma 90.00
loop_
_atom_site_label
_atom_site_type_symbol
_atom_site_fract_x
_atom_site_fract_y
_atom_site_fract_z
Y1 Y 0.000 0.000 0.000
Zn1 Zn 0.121 0.379 0.000
Co1 Co 0.175 0.675 0.500
```

Compound: YZnCo2
Source: Alexandria
Functional: GGA-PBE
Structure: optimized geometry

```
data_YZnCo2
_chemical_formula_sum 'Y4 Zn4 Co8'
_symmetry_space_group_name_H-M 'I -4 2 d'
_symmetry_Int_Tables_number 122
_symmetry_space_group_name_Hall 'I -4 2bw'
_cell_length_a 4.195
_cell_length_b 4.195
_cell_length_c 16.785
_cell_angle_alpha 90.00
_cell_angle_beta 90.00
_cell_angle_gamma 90.00
loop_
_atom_site_label
_atom_site_type_symbol
_atom_site_fract_x
_atom_site_fract_y
_atom_site_fract_z
Y1 Y 0.000 0.000 0.000
Zn1 Zn 0.000 0.000 0.500
Co1 Co 0.093 0.250 0.625
```

Compound: YZnCo
Source: Alexandria
Functional: GGA-PBE
Structure: optimized geometry

```
data_YZnCo
_chemical_formula_sum 'Y4 Zn4 Co4'
_symmetry_space_group_name_H-M 'F -4 3 m'
_symmetry_Int_Tables_number 216
_symmetry_space_group_name_Hall 'F -4 2 3'
_cell_length_a 6.191
_cell_length_b 6.191
_cell_length_c 6.191
_cell_angle_alpha 90.00
_cell_angle_beta 90.00
_cell_angle_gamma 90.00
loop_
_atom_site_label
_atom_site_type_symbol
_atom_site_fract_x
_atom_site_fract_y
_atom_site_fract_z
Y1 Y 0.000 0.000 0.000
Zn1 Zn 0.000 0.000 0.500
Co1 Co 0.250 0.250 0.250
```

Compound: Y4ZnCo
Source: Alexandria
Functional: GGA-PBE
Structure: optimized geometry

```
data_Y4ZnCo
_chemical_formula_sum 'Y16 Zn4 Co4'
_symmetry_space_group_name_H-M 'F -4 3 m'
_symmetry_Int_Tables_number 216
_symmetry_space_group_name_Hall 'F -4 2 3'
_cell_length_a 8.675
_cell_length_b 8.675
_cell_length_c 8.675
_cell_angle_alpha 90.00
_cell_angle_beta 90.00
_cell_angle_gamma 90.00
loop_
_atom_site_label
_atom_site_type_symbol
_atom_site_fract_x
_atom_site_fract_y
_atom_site_fract_z
Y1 Y 0.125 0.125 0.125
Zn1 Zn 0.250 0.250 0.750
Co1 Co 0.000 0.000 0.500
```

| no. | formation energy (eV/f.u.) |
| --- | --- |
| 1 | 0.0 |
| 2 | 0.8 |
| 3 | -0.1 |
| 4 | 4.7 |